No. 1
Computed, not measured: a relaxed KTi2Fe crystal at the GGA-PBE level of DFT.

Values from the calculation:
ΔE_f	4.425	eV/f.u.
E above lowest polymorph	5.9	kJ per mole of atoms
volume	278	Å³ per cell
E_tot	-5.23	eV per atom

Unit cell a=6.5267 b=6.5267 c=6.5267 alpha=90.00 beta=90.00 gamma=90.00
With the nearest neighbours (Å) after each atom.
Space group Fm-3m (No. 225)
Unique sites:
K  0.0000  0.0000  0.0000 [4 per cell]  8 Ti 2.83
Ti  0.2500  0.2500  0.2500 [8 per cell]  4 K 2.83, 4 Fe 2.83
Fe  0.0000  0.0000  0.5000 [4 per cell]  8 Ti 2.83

---

No. 2
Computed, not measured: a relaxed K2TiFe crystal at the GGA-PBE level of DFT.

Values from the calculation:
ΔE_f	6.389	eV/f.u.
E above lowest polymorph	55.7	kJ per mole of atoms
volume	584	Å³ per cell
E_tot	-3.04	eV per atom

Unit cell a=8.3577 b=8.3577 c=8.3577 alpha=90.00 beta=90.00 gamma=90.00
With the nearest neighbours (Å) after each atom.
Space group Fm-3m (No. 225)
Unique sites:
K  0.2500  0.2500  0.2500 [8 per cell]  4 Fe 3.62, 4 Ti 3.62
Ti  0.0000  0.0000  0.0000 [4 per cell]  8 K 3.62
Fe  0.0000  0.0000  0.5000 [4 per cell]  8 K 3.62

---

No. 3
Computed, not measured: a relaxed KTiFe3 crystal at the GGA-PBE level of DFT.

Values from the calculation:
ΔE_f	6.032	eV/f.u.
E above lowest polymorph	0.0	kJ per mole of atoms
volume	102	Å³ per cell
E_tot	-5.67	eV per atom

Unit cell a=4.6666 b=4.6666 c=4.6666 alpha=90.00 beta=90.00 gamma=90.00
With the nearest neighbours (Å) after each atom.
Space group Pm-3m (No. 221)
Unique sites:
K  0.0000  0.0000  0.0000 [1 per cell]  12 Fe 3.30
Ti  0.5000  0.5000  0.5000 [1 per cell]  6 Fe 2.33
Fe  0.0000  0.5000  0.5000 [3 per cell]  2 Ti 2.33

---

No. 4
Computed, not measured: a relaxed KTiFe2 crystal at the GGA-PBE level of DFT.

Values from the calculation:
ΔE_f	4.589	eV/f.u.
E above lowest polymorph	2.4	kJ per mole of atoms
volume	296	Å³ per cell
E_tot	-5.33	eV per atom

Unit cell a=6.6628 b=6.6628 c=6.6628 alpha=90.00 beta=90.00 gamma=90.00
With the nearest neighbours (Å) after each atom.
Space group Fm-3m (No. 225)
Unique sites:
K  0.0000  0.0000  0.0000 [4 per cell]  8 Fe 2.89
Ti  0.0000  0.0000  0.5000 [4 per cell]  8 Fe 2.89
Fe  0.2500  0.2500  0.2500 [8 per cell]  4 Ti 2.89, 4 K 2.89

---

No. 5
Computed, not measured: a relaxed KTiFe3 crystal at the GGA-PBE level of DFT.

Values from the calculation:
ΔE_f	11.505	eV/f.u.
E above lowest polymorph	105.6	kJ per mole of atoms
volume	87	Å³ per cell
E_tot	-4.58	eV per atom

Unit cell a=4.4256 b=4.4256 c=4.4256 alpha=90.00 beta=90.00 gamma=90.00
With the nearest neighbours (Å) after each atom.
Space group Pm-3m (No. 221)
Unique sites:
K  0.0000  0.0000  0.0000 [1 per cell]  6 Fe 2.21
Ti  0.5000  0.5000  0.5000 [1 per cell]  12 Fe 3.13
Fe  0.0000  0.0000  0.5000 [3 per cell]  2 K 2.21

---

No. 6
Computed, not measured: a relaxed K2TiTlFe crystal at the GGA-PBE level of DFT.

Values from the calculation:
ΔE_f	4.752	eV/f.u.
volume	176	Å³ per cell
E_tot	-3.23	eV per atom

Unit cell a=6.6053 b=6.6053 c=4.0373 alpha=90.00 beta=90.00 gamma=90.00
With the nearest neighbours (Å) after each atom.
Space group P4/mmm (No. 123)
Unique sites:
K  0.0000  0.5000  0.0000 [2 per cell]  2 Ti 3.30
Ti  0.0000  0.0000  0.0000 [1 per cell]  2 Fe 2.02
Tl  0.5000  0.5000  0.5000 [1 per cell]  8 K 3.87, 2 Tl 4.04
Fe  0.0000  0.0000  0.5000 [1 per cell]  2 Ti 2.02

---

Number 4 is which compound?
KTiFe2

---

Among the records above, which one has the lowest volume?
number 5

---

Which of these has the highest E_tot?
K2TiFe

---

Which formula does entry 6 have?
K2TiTlFe